*w*
This record from Alexandria via LeMat-Bulk describes MgAg2P after structural relaxation. The functional is PBE.

Computed properties:
crystal system	tetragonal

a = 3.480 Å, b = 3.480 Å, c = 5.818 Å
α = 90.00°, β = 90.00°, γ = 90.00°
Space group P4mm (No. 99)
Symmetry-distinct sites (fractional):
Mg 0.000 0.000 0.000
Ag 0.000 0.000 0.480
Ag 0.500 0.500 0.735
P 0.500 0.500 0.220

*x*
This record from Alexandria via LeMat-Bulk describes MgAg2P after structural relaxation. The functional is PBE.

Computed properties:
crystal system	tetragonal

a = 3.978 Å, b = 3.978 Å, c = 8.822 Å
α = 90.00°, β = 90.00°, γ = 90.00°
Space group I4/mmm (No. 139)
Symmetry-distinct sites (fractional):
Mg 0.000 0.000 0.000
Ag 0.000 0.500 0.250
P 0.000 0.000 0.500

*y*
This record from Alexandria via LeMat-Bulk describes MgAg2P after structural relaxation. The functional is PBE.

Computed properties:
crystal system	cubic

a = 6.593 Å, b = 6.593 Å, c = 6.593 Å
α = 90.00°, β = 90.00°, γ = 90.00°
Space group F-43m (No. 216)
Symmetry-distinct sites (fractional):
Mg 0.000 0.000 0.000
Ag 0.000 0.000 0.500
Ag 0.250 0.250 0.750
P 0.250 0.250 0.250

*z*
This record from Alexandria via LeMat-Bulk describes MgAg2P after structural relaxation. The functional is PBE.

Computed properties:
crystal system	trigonal

a = 3.0638 Å, b = 3.0638 Å, c = 26.3421 Å
α = 90.00°, β = 90.00°, γ = 120.00°
Space group R-3m (No. 166, hexagonal axes)
Symmetry-distinct sites (fractional):
Mg 0.0000 0.0000 0.0000
Ag 0.0000 0.0000 0.2461
P 0.0000 0.0000 0.5000

Which structure is most stable? *x*, by 4.0 kJ/mol of atoms over the runner-up.

*w*
This record from Alexandria via LeMat-Bulk describes MgAg2P after structural relaxation. The functional is PBE.

Computed properties:
crystal system	monoclinic

a = 8.641 Å, b = 2.945 Å, c = 6.829 Å
α = 90.00°, β = 114.67°, γ = 90.00°
Space group Cm (No. 8)
Symmetry-distinct sites (fractional):
Mg 0.000 0.000 0.000
Ag 0.194 0.000 0.753
Ag 0.387 0.000 0.516
P 0.278 0.500 0.166

*x*
This record from Alexandria via LeMat-Bulk describes MgAg2P after structural relaxation. The functional is PBE.

Computed properties:
crystal system	cubic

a = 6.579 Å, b = 6.579 Å, c = 6.579 Å
α = 90.00°, β = 90.00°, γ = 90.00°
Space group Fm-3m (No. 225)
Symmetry-distinct sites (fractional):
Mg 0.000 0.000 0.000
Ag 0.250 0.250 0.250
P 0.000 0.000 0.500

Which structure is most stable? *w*, by 7.0 kJ/mol of atoms over the runner-up.

*w*
This record from Alexandria via LeMat-Bulk describes MgAg2P after structural relaxation. The functional is PBE.

Computed properties:
crystal system	monoclinic

a = 3.081 Å, b = 3.915 Å, c = 6.138 Å
α = 90.00°, β = 104.47°, γ = 90.00°
Space group Pm (No. 6)
Symmetry-distinct sites (fractional):
Mg 0.000 0.000 0.000
Ag 0.361 0.500 0.723
Ag 0.739 0.000 0.478
P 0.587 0.500 0.174

*x*
This record from Alexandria via LeMat-Bulk describes MgAg2P after structural relaxation. The functional is PBE.

Computed properties:
crystal system	tetragonal

a = 3.991 Å, b = 3.991 Å, c = 18.944 Å
α = 90.00°, β = 90.00°, γ = 90.00°
Space group I-42d (No. 122)
Symmetry-distinct sites (fractional):
Mg 0.000 0.000 0.000
Ag 0.240 0.250 0.625
P 0.000 0.000 0.500

Which structure is most stable? *w*, by 10.2 kJ/mol of atoms over the runner-up.

*w*
This record from Alexandria via LeMat-Bulk describes MgAg2P after structural relaxation. The functional is PBE.

Computed properties:
crystal system	tetragonal

a = 4.011 Å, b = 4.011 Å, c = 4.305 Å
α = 90.00°, β = 90.00°, γ = 90.00°
Space group P4/mmm (No. 123)
Symmetry-distinct sites (fractional):
Mg 0.000 0.000 0.000
Ag 0.000 0.500 0.500
P 0.500 0.500 0.000

*x*
This record from Alexandria via LeMat-Bulk describes MgAg2P after structural relaxation. The functional is PBE.

Computed properties:
crystal system	monoclinic

a = 9.693 Å, b = 2.977 Å, c = 4.887 Å
α = 90.00°, β = 98.36°, γ = 90.00°
Space group C2/m (No. 12)
Symmetry-distinct sites (fractional):
Mg 0.000 0.000 0.000
Ag 0.250 0.000 0.752
P 0.000 0.500 0.500

*y*
This record from Alexandria via LeMat-Bulk describes MgAg2P after structural relaxation. The functional is PBE.

Computed properties:
crystal system	orthorhombic

a = 4.096 Å, b = 4.110 Å, c = 8.284 Å
α = 90.00°, β = 90.00°, γ = 90.00°
Space group Imm2 (No. 44)
Symmetry-distinct sites (fractional):
Mg 0.000 0.000 0.000
Ag 0.000 0.000 0.499
Ag 0.000 0.500 0.250
P 0.000 0.500 0.750

Which structure is most stable? *w*, by 6.3 kJ/mol of atoms over the runner-up.

*w*
This record from Alexandria via LeMat-Bulk describes MgAg2P after structural relaxation. The functional is PBE.

Computed properties:
crystal system	monoclinic

a = 3.091 Å, b = 4.846 Å, c = 4.758 Å
α = 90.00°, β = 90.56°, γ = 90.00°
Space group P2/m (No. 10)
Symmetry-distinct sites (fractional):
Mg 0.000 0.000 0.000
Ag 0.275 0.500 0.248
P 0.500 0.000 0.500

*x*
This record from Alexandria via LeMat-Bulk describes MgAg2P after structural relaxation. The functional is PBE.

Computed properties:
crystal system	orthorhombic

a = 5.618 Å, b = 8.297 Å, c = 3.059 Å
α = 90.00°, β = 90.00°, γ = 90.00°
Space group Cmmm (No. 65)
Symmetry-distinct sites (fractional):
Mg 0.000 0.000 0.000
Ag 0.250 0.250 0.500
P 0.000 0.500 0.000

Which structure is most stable? *w*, by 10.2 kJ/mol of atoms over the runner-up.

*w*
This record from Alexandria via LeMat-Bulk describes Mg2PaAg after structural relaxation. The functional is PBE.

Computed properties:
crystal system	trigonal

a = 3.0442 Å, b = 3.0442 Å, c = 33.4048 Å
α = 90.00°, β = 90.00°, γ = 120.00°
Space group R-3m (No. 166, hexagonal axes)
Symmetry-distinct sites (fractional):
Mg 0.0000 0.0000 0.0965
Pa 0.0000 0.0000 0.0000
Ag 0.0000 0.0000 0.5000

*x*
This record from Alexandria via LeMat-Bulk describes Mg2PaAg after structural relaxation. The functional is PBE.

Computed properties:
crystal system	tetragonal

a = 3.085 Å, b = 3.085 Å, c = 8.954 Å
α = 90.00°, β = 90.00°, γ = 90.00°
Space group P4/mmm (No. 123)
Symmetry-distinct sites (fractional):
Mg 0.000 0.000 0.213
Pa 0.500 0.500 0.500
Ag 0.500 0.500 0.000

Which structure is most stable? *x*, by 14.9 kJ/mol of atoms over the runner-up.

*w*
This record from Alexandria via LeMat-Bulk describes Mg3AgPb after structural relaxation. The functional is PBE.

Computed properties:
crystal system	cubic

a = 6.988 Å, b = 6.988 Å, c = 6.988 Å
α = 90.00°, β = 90.00°, γ = 90.00°
Space group Pm-3m (No. 221)
Symmetry-distinct sites (fractional):
Mg 0.000 0.000 0.000
Mg 0.278 0.278 0.278
Ag 0.000 0.500 0.500
Pb 0.000 0.000 0.500

*x*
This record from Alexandria via LeMat-Bulk describes Mg3AgPb after structural relaxation. The functional is PBE.

Computed properties:
crystal system	hexagonal

a = 7.2789 Å, b = 7.2789 Å, c = 5.3497 Å
α = 90.00°, β = 90.00°, γ = 120.00°
Space group P6_3/mmc (No. 194)
Symmetry-distinct sites (fractional):
Mg 0.1912 0.3824 0.2500
Ag 0.0000 0.0000 0.0000
Pb 0.3333 0.6667 0.7500

*y*
This record from Alexandria via LeMat-Bulk describes Mg3AgPb after structural relaxation. The functional is PBE.

Computed properties:
crystal system	cubic

a = 5.120 Å, b = 5.120 Å, c = 5.120 Å
α = 90.00°, β = 90.00°, γ = 90.00°
Space group Pm-3m (No. 221)
Symmetry-distinct sites (fractional):
Mg 0.000 0.000 0.500
Ag 0.000 0.000 0.000
Pb 0.500 0.500 0.500

Which structure is most stable? *w*, by 8.3 kJ/mol of atoms over the runner-up.

*w*
This record from Alexandria via LeMat-Bulk describes Mg4AgPb after structural relaxation. The functional is PBE.

Computed properties:
crystal system	cubic

a = 8.267 Å, b = 8.267 Å, c = 8.267 Å
α = 90.00°, β = 90.00°, γ = 90.00°
Space group F-43m (No. 216)
Symmetry-distinct sites (fractional):
Mg 0.125 0.125 0.125
Ag 0.000 0.000 0.500
Pb 0.250 0.250 0.750

*x*
This record from Alexandria via LeMat-Bulk describes Mg4AgPb after structural relaxation. The functional is PBE.

Computed properties:
crystal system	monoclinic

a = 8.188 Å, b = 12.570 Å, c = 5.699 Å
α = 90.00°, β = 109.53°, γ = 90.00°
Space group C2/c (No. 15)
Symmetry-distinct sites (fractional):
Mg 0.104 0.183 0.056
Mg 0.213 0.398 0.365
Ag 0.000 0.000 0.250
Pb 0.000 0.389 0.750

Which structure is most stable? *x*, by 17.3 kJ/mol of atoms over the runner-up.

*w*
This record from Alexandria via LeMat-Bulk describes Mg2Ag2Pb after structural relaxation. The functional is PBE.

Computed properties:
crystal system	tetragonal

a = 4.254 Å, b = 4.254 Å, c = 12.741 Å
α = 90.00°, β = 90.00°, γ = 90.00°
Space group I4/mmm (No. 139)
Symmetry-distinct sites (fractional):
Mg 0.000 0.500 0.250
Ag 0.000 0.000 0.109
Pb 0.000 0.000 0.500

*x*
This record from Alexandria via LeMat-Bulk describes Mg2Ag2Pb after structural relaxation. The functional is PBE.

Computed properties:
crystal system	tetragonal

a = 8.015 Å, b = 8.015 Å, c = 3.342 Å
α = 90.00°, β = 90.00°, γ = 90.00°
Space group P4/mbm (No. 127)
Symmetry-distinct sites (fractional):
Mg 0.165 0.335 0.000
Ag 0.128 0.628 0.500
Pb 0.000 0.000 0.500

*y*
This record from Alexandria via LeMat-Bulk describes Mg2Ag2Pb after structural relaxation. The functional is PBE.

Computed properties:
crystal system	tetragonal

a = 8.239 Å, b = 8.239 Å, c = 3.188 Å
α = 90.00°, β = 90.00°, γ = 90.00°
Space group P4/mbm (No. 127)
Symmetry-distinct sites (fractional):
Mg 0.135 0.365 0.000
Ag 0.158 0.658 0.500
Pb 0.000 0.000 0.000

Which structure is most stable? *x*, by 4.4 kJ/mol of atoms over the runner-up.

*w*
This record from Alexandria via LeMat-Bulk describes Mg2AgPb2 after structural relaxation. The functional is PBE.

Computed properties:
crystal system	tetragonal

a = 4.061 Å, b = 4.061 Å, c = 16.379 Å
α = 90.00°, β = 90.00°, γ = 90.00°
Space group I4/mmm (No. 139)
Symmetry-distinct sites (fractional):
Mg 0.000 0.500 0.250
Ag 0.000 0.000 0.000
Pb 0.000 0.000 0.401

*x*
This record from Alexandria via LeMat-Bulk describes Mg2AgPb2 after structural relaxation. The functional is PBE.

Computed properties:
crystal system	tetragonal

a = 7.351 Å, b = 7.351 Å, c = 4.666 Å
α = 90.00°, β = 90.00°, γ = 90.00°
Space group P4/mbm (No. 127)
Symmetry-distinct sites (fractional):
Mg 0.147 0.353 0.000
Ag 0.000 0.000 0.000
Pb 0.163 0.663 0.500

*y*
This record from Alexandria via LeMat-Bulk describes Mg2AgPb2 after structural relaxation. The functional is PBE.

Computed properties:
crystal system	tetragonal

a = 7.692 Å, b = 7.692 Å, c = 4.420 Å
α = 90.00°, β = 90.00°, γ = 90.00°
Space group P4/mbm (No. 127)
Symmetry-distinct sites (fractional):
Mg 0.155 0.345 0.000
Ag 0.000 0.000 0.500
Pb 0.149 0.649 0.500

Which structure is most stable? *x*, by 4.6 kJ/mol of atoms over the runner-up.